Computed, not measured: an optimized crystal structure of TmNpIrO6 at the PBE level of DFT.

```
data_TmNpIrO6
_cell_length_a 5.5541
_cell_length_b 5.5541
_cell_length_c 8.5821
_cell_angle_alpha 90.00
_cell_angle_beta 90.00
_cell_angle_gamma 120.00
_space_group_name_H-M_alt 'P -3 1 c'
_space_group_IT_number 163
_space_group_name_Hall '-P 3 2c'
loop_
_atom_site_label
_atom_site_fract_x
_atom_site_fract_y
_atom_site_fract_z
Tm1 0.3333 0.6667 0.2500
Np1 0.3333 0.6667 0.7500
Ir1 0.0000 0.0000 0.0000
O1 0.0200 0.3312 0.6238
```

Uncorrected energy = -8.454 eV per atom
Density = 10.06 g cm⁻³
Uncorrected formation energy = -20.067 eV/f.u.